# La2DyPu, optimized geometry, DFT PBE-GGA
# Calculated formation energy in eV per atom: 0.20
data_La2DyPu
_chemical_formula_sum 'La2 Dy1 Pu1'
_cell_length_a 5.7361
_cell_length_b 5.7361
_cell_length_c 5.7361
_cell_angle_alpha 60.00
_cell_angle_beta 60.00
_cell_angle_gamma 60.00
_space_group_name_H-M_alt 'P 1'
_space_group_IT_number 1
_space_group_name_Hall 'P 1'
loop_
_atom_site_label
_atom_site_fract_x
_atom_site_fract_y
_atom_site_fract_z
La1 0.2500 0.2500 0.2500
La2 0.7500 0.7500 0.7500
Dy1 0.0000 0.0000 0.0000
Pu1 0.5000 0.5000 0.5000

***

# Sc2Sn2Ru3, optimized geometry, DFT PBE-GGA
# Calculated formation energy in eV per atom: -0.41
data_Sc2Sn2Ru3
_chemical_formula_sum 'Sc2 Sn2 Ru3'
_cell_length_a 4.5440
_cell_length_b 4.5470
_cell_length_c 7.7256
_cell_angle_alpha 106.84
_cell_angle_beta 90.25
_cell_angle_gamma 119.82
_space_group_name_H-M_alt 'P 1'
_space_group_IT_number 1
_space_group_name_Hall 'P 1'
loop_
_atom_site_label
_atom_site_fract_x
_atom_site_fract_y
_atom_site_fract_z
Sc1 0.1218 0.2448 0.3658
Sc2 0.8782 0.7552 0.6342
Sn1 0.3749 0.7535 0.1266
Sn2 0.6251 0.2465 0.8734
Ru1 0.2510 0.4998 0.7522
Ru2 0.5000 0.0000 0.5000
Ru3 0.7490 0.5002 0.2478

***

# CeMnTl2S4, optimized geometry, DFT PBE-GGA
# Formation energy (no corrections) in meV per atom: -886.3
data_CeMnTl2S4
_chemical_formula_sum 'Ce2 Mn2 Tl4 S8'
_cell_length_a 8.2454
_cell_length_b 8.2454
_cell_length_c 8.2454
_cell_angle_alpha 121.28
_cell_angle_beta 118.46
_cell_angle_gamma 90.24
_space_group_name_H-M_alt 'P 1'
_space_group_IT_number 1
_space_group_name_Hall 'P 1'
loop_
_atom_site_label
_atom_site_fract_x
_atom_site_fract_y
_atom_site_fract_z
Ce1 0.0000 0.0000 0.0000
Ce2 0.5000 0.0000 0.5000
Mn1 0.5000 0.0000 0.0000
Mn2 0.5000 0.5000 0.5000
Tl1 0.0000 0.0000 0.5000
Tl2 0.0000 0.5000 0.0000
Tl3 0.0000 0.5000 0.5000
Tl4 0.5000 0.5000 0.0000
S1 0.2709 0.2420 0.4710
S2 0.2709 0.7999 0.0290
S3 0.2847 0.2363 0.0484
S4 0.3120 0.7637 0.5484
S5 0.6880 0.2363 0.4516
S6 0.7153 0.7637 0.9516
S7 0.7291 0.2001 0.9710
S8 0.7291 0.7580 0.5290

***

# ZrScAu2, optimized geometry, DFT PBE-GGA
# Calculated formation energy in eV per atom: -0.53
data_ZrScAu2
_chemical_formula_sum 'Zr1 Sc1 Au2'
_cell_length_a 5.2458
_cell_length_b 5.2458
_cell_length_c 5.0694
_cell_angle_alpha 100.66
_cell_angle_beta 100.66
_cell_angle_gamma 35.99
_space_group_name_H-M_alt 'P 1'
_space_group_IT_number 1
_space_group_name_Hall 'P 1'
loop_
_atom_site_label
_atom_site_fract_x
_atom_site_fract_y
_atom_site_fract_z
Zr1 0.0000 0.0000 0.0000
Sc1 0.7693 0.7693 0.3446
Au1 0.2553 0.2553 0.8282
Au2 0.5131 0.5131 0.5104

***

# TbRhS2, optimized geometry, DFT PBE-GGA
# Formation energy (no corrections) in meV per atom: -572.5
data_TbRhS2
_chemical_formula_sum 'Tb1 Rh1 S2'
_cell_length_a 8.0326
_cell_length_b 8.0326
_cell_length_c 8.0326
_cell_angle_alpha 26.21
_cell_angle_beta 26.21
_cell_angle_gamma 26.21
_space_group_name_H-M_alt 'P 1'
_space_group_IT_number 1
_space_group_name_Hall 'P 1'
loop_
_atom_site_label
_atom_site_fract_x
_atom_site_fract_y
_atom_site_fract_z
Tb1 0.0000 0.0000 0.0000
Rh1 0.5000 0.5000 0.5000
S1 0.1164 0.1164 0.1164
S2 0.8836 0.8836 0.8836

***

# ZnGaPt5, optimized geometry, DFT PBE-GGA
# Calculated formation energy in eV per atom: -0.25
data_ZnGaPt5
_chemical_formula_sum 'Zn2 Ga2 Pt10'
_cell_length_a 6.2060
_cell_length_b 6.2060
_cell_length_c 6.8309
_cell_angle_alpha 110.44
_cell_angle_beta 110.44
_cell_angle_gamma 90.79
_space_group_name_H-M_alt 'P 1'
_space_group_IT_number 1
_space_group_name_Hall 'P 1'
loop_
_atom_site_label
_atom_site_fract_x
_atom_site_fract_y
_atom_site_fract_z
Zn1 0.0000 0.5000 0.0000
Zn2 0.5000 0.0000 0.5000
Ga1 0.2035 0.7965 0.7500
Ga2 0.7965 0.2035 0.2500
Pt1 0.0708 0.9292 0.2500
Pt2 0.1674 0.3448 0.6379
Pt3 0.3073 0.5893 0.4149
Pt4 0.3448 0.1674 0.1379
Pt5 0.4107 0.6927 0.0851
Pt6 0.5893 0.3073 0.9149
Pt7 0.6552 0.8326 0.8621
Pt8 0.6927 0.4107 0.5851
Pt9 0.8326 0.6552 0.3621
Pt10 0.9292 0.0708 0.7500

***

# AcBi6, optimized geometry, DFT PBE-GGA
# Calculated formation energy in eV per atom: 0.36
data_AcBi6
_chemical_formula_sum 'Ac1 Bi6'
_cell_length_a 7.5859
_cell_length_b 7.5859
_cell_length_c 7.5859
_cell_angle_alpha 109.47
_cell_angle_beta 109.47
_cell_angle_gamma 109.47
_space_group_name_H-M_alt 'P 1'
_space_group_IT_number 1
_space_group_name_Hall 'P 1'
loop_
_atom_site_label
_atom_site_fract_x
_atom_site_fract_y
_atom_site_fract_z
Ac1 0.0000 0.0000 0.0000
Bi1 0.2500 0.5000 0.7500
Bi2 0.2500 0.7500 0.5000
Bi3 0.5000 0.2500 0.7500
Bi4 0.5000 0.7500 0.2500
Bi5 0.7500 0.2500 0.5000
Bi6 0.7500 0.5000 0.2500

***

# GaGe2Bi, optimized geometry, DFT PBE-GGA
# Calculated formation energy in eV per atom: 0.10
data_GaGe2Bi
_chemical_formula_sum 'Ga2 Ge4 Bi2'
_cell_length_a 7.5163
_cell_length_b 7.5163
_cell_length_c 7.5163
_cell_angle_alpha 132.08
_cell_angle_beta 132.08
_cell_angle_gamma 70.11
_space_group_name_H-M_alt 'P 1'
_space_group_IT_number 1
_space_group_name_Hall 'P 1'
loop_
_atom_site_label
_atom_site_fract_x
_atom_site_fract_y
_atom_site_fract_z
Ga1 0.0000 0.0000 0.0000
Ga2 0.7500 0.2500 0.5000
Ge1 0.0839 0.6250 0.9589
Ge2 0.3750 0.3339 0.4589
Ge3 0.6661 0.1250 0.0411
Ge4 0.8750 0.9161 0.5411
Bi1 0.2500 0.7500 0.5000
Bi2 0.5000 0.5000 0.0000

***

# LiTaSi, optimized geometry, DFT PBE-GGA
# Formation energy (no corrections) in meV per atom: 26.8
data_LiTaSi
_chemical_formula_sum 'Li1 Ta1 Si1'
_cell_length_a 6.7382
_cell_length_b 6.7382
_cell_length_c 6.7382
_cell_angle_alpha 156.48
_cell_angle_beta 156.48
_cell_angle_gamma 33.51
_space_group_name_H-M_alt 'P 1'
_space_group_IT_number 1
_space_group_name_Hall 'P 1'
loop_
_atom_site_label
_atom_site_fract_x
_atom_site_fract_y
_atom_site_fract_z
Li1 0.0000 0.0000 0.0000
Ta1 0.3053 0.3053 0.0000
Si1 0.6535 0.6535 0.0000

***

# Ba5SbI5, optimized geometry, DFT PBE-GGA
# Formation energy (no corrections) in meV per atom: -1478.9
data_Ba5SbI5
_chemical_formula_sum 'Ba5 Sb1 I5'
_cell_length_a 8.6305
_cell_length_b 8.6305
_cell_length_c 10.0100
_cell_angle_alpha 106.99
_cell_angle_beta 106.99
_cell_angle_gamma 48.17
_space_group_name_H-M_alt 'P 1'
_space_group_IT_number 1
_space_group_name_Hall 'P 1'
loop_
_atom_site_label
_atom_site_fract_x
_atom_site_fract_y
_atom_site_fract_z
Ba1 0.0000 0.0000 0.0000
Ba2 0.3393 0.3393 0.1570
Ba3 0.3427 0.3427 0.6813
Ba4 0.6573 0.6573 0.3187
Ba5 0.6607 0.6607 0.8430
Sb1 0.5000 0.5000 0.0000
I1 0.1645 0.1645 0.8242
I2 0.1709 0.1709 0.3385
I3 0.5000 0.5000 0.5000
I4 0.8291 0.8291 0.6615
I5 0.8355 0.8355 0.1758

***

# K2PaPbO4, optimized geometry, DFT PBE-GGA
# Formation energy (no corrections) in meV per atom: -2196.3
data_K2PaPbO4
_chemical_formula_sum 'K2 Pa1 Pb1 O4'
_cell_length_a 6.9721
_cell_length_b 3.5461
_cell_length_c 7.2467
_cell_angle_alpha 90.00
_cell_angle_beta 116.98
_cell_angle_gamma 90.00
_space_group_name_H-M_alt 'P 1'
_space_group_IT_number 1
_space_group_name_Hall 'P 1'
loop_
_atom_site_label
_atom_site_fract_x
_atom_site_fract_y
_atom_site_fract_z
K1 0.0000 0.0000 0.0000
K2 0.5000 0.5000 0.5000
Pa1 0.0000 0.0000 0.5000
Pb1 0.5000 0.5000 0.0000
O1 0.0486 0.5000 0.3318
O2 0.3341 0.0000 0.7011
O3 0.6659 0.0000 0.2989
O4 0.9514 0.5000 0.6682

***

# NaLiCu2Cl6, optimized geometry, DFT PBE-GGA
# Formation energy (no corrections) in meV per atom: -968.2
data_NaLiCu2Cl6
_chemical_formula_sum 'Na2 Li2 Cu4 Cl12'
_cell_length_a 8.7917
_cell_length_b 8.7917
_cell_length_c 7.3113
_cell_angle_alpha 105.08
_cell_angle_beta 105.08
_cell_angle_gamma 76.15
_space_group_name_H-M_alt 'P 1'
_space_group_IT_number 1
_space_group_name_Hall 'P 1'
loop_
_atom_site_label
_atom_site_fract_x
_atom_site_fract_y
_atom_site_fract_z
Na1 0.1285 0.8715 0.7500
Na2 0.8715 0.1285 0.2500
Li1 0.2310 0.7690 0.2500
Li2 0.7690 0.2310 0.7500
Cu1 0.2005 0.3569 0.7734
Cu2 0.3569 0.2005 0.2734
Cu3 0.6431 0.7995 0.7266
Cu4 0.7995 0.6431 0.2266
Cl1 0.0282 0.1850 0.6567
Cl2 0.1850 0.0282 0.1567
Cl3 0.2020 0.6114 0.9322
Cl4 0.2247 0.3912 0.4844
Cl5 0.3886 0.7980 0.5678
Cl6 0.3912 0.2247 0.9844
Cl7 0.6088 0.7753 0.0156
Cl8 0.6114 0.2020 0.4322
Cl9 0.7753 0.6088 0.5156
Cl10 0.7980 0.3886 0.0678
Cl11 0.8150 0.9718 0.8433
Cl12 0.9718 0.8150 0.3433

***

# BiH2S, optimized geometry, DFT PBE-GGA
# Raw total energy in eV per atom: -3.0519
data_BiH2S
_chemical_formula_sum 'Bi1 H2 S1'
_cell_length_a 6.1282
_cell_length_b 6.1282
_cell_length_c 6.1282
_cell_angle_alpha 31.46
_cell_angle_beta 31.46
_cell_angle_gamma 31.46
_space_group_name_H-M_alt 'P 1'
_space_group_IT_number 1
_space_group_name_Hall 'P 1'
loop_
_atom_site_label
_atom_site_fract_x
_atom_site_fract_y
_atom_site_fract_z
Bi1 0.0000 0.0000 0.0000
H1 0.1377 0.1377 0.1377
H2 0.8623 0.8623 0.8623
S1 0.5000 0.5000 0.5000

***

# TeAuSe2, optimized geometry, DFT PBE-GGA
# Formation energy (no corrections) in meV per atom: 345.4
data_TeAuSe2
_chemical_formula_sum 'Te1 Au1 Se2'
_cell_length_a 2.9133
_cell_length_b 2.9133
_cell_length_c 12.4448
_cell_angle_alpha 90.00
_cell_angle_beta 90.00
_cell_angle_gamma 90.00
_space_group_name_H-M_alt 'P 1'
_space_group_IT_number 1
_space_group_name_Hall 'P 1'
loop_
_atom_site_label
_atom_site_fract_x
_atom_site_fract_y
_atom_site_fract_z
Te1 0.0000 0.0000 0.0000
Au1 0.0000 0.0000 0.5000
Se1 0.5000 0.5000 0.3186
Se2 0.5000 0.5000 0.6814

***

# KSr2Br, optimized geometry, DFT PBE-GGA
# Formation energy (no corrections) in meV per atom: -512.7
data_KSr2Br
_chemical_formula_sum 'K1 Sr2 Br1'
_cell_length_a 4.7622
_cell_length_b 5.3794
_cell_length_c 8.1858
_cell_angle_alpha 90.00
_cell_angle_beta 105.61
_cell_angle_gamma 90.00
_space_group_name_H-M_alt 'P 1'
_space_group_IT_number 1
_space_group_name_Hall 'P 1'
loop_
_atom_site_label
_atom_site_fract_x
_atom_site_fract_y
_atom_site_fract_z
K1 0.0000 0.0000 0.0000
Sr1 0.3819 0.5000 0.7118
Sr2 0.6181 0.5000 0.2882
Br1 0.5000 0.0000 0.5000

***

# CsInAgI3, optimized geometry, DFT PBE-GGA
# Formation energy (no corrections) in meV per atom: -711.4
data_CsInAgI3
_chemical_formula_sum 'Cs2 In2 Ag2 I6'
_cell_length_a 10.1341
_cell_length_b 4.9131
_cell_length_c 12.3643
_cell_angle_alpha 90.00
_cell_angle_beta 108.76
_cell_angle_gamma 90.00
_space_group_name_H-M_alt 'P 1'
_space_group_IT_number 1
_space_group_name_Hall 'P 1'
loop_
_atom_site_label
_atom_site_fract_x
_atom_site_fract_y
_atom_site_fract_z
Cs1 0.2306 0.2500 0.2112
Cs2 0.7694 0.7500 0.7888
In1 0.4366 0.7500 0.9150
In2 0.5634 0.2500 0.0850
Ag1 0.1558 0.2500 0.5506
Ag2 0.8442 0.7500 0.4494
I1 0.1180 0.7500 0.4153
I2 0.1622 0.7500 0.9544
I3 0.4136 0.2500 0.7267
I4 0.5864 0.7500 0.2733
I5 0.8378 0.2500 0.0456
I6 0.8820 0.2500 0.5847

***

# Sm3DyTm2, optimized geometry, DFT PBE-GGA
# Calculated formation energy in eV per atom: 0.00
data_Sm3DyTm2
_chemical_formula_sum 'Sm6 Dy2 Tm4'
_cell_length_a 9.5607
_cell_length_b 9.5607
_cell_length_c 6.2310
_cell_angle_alpha 102.57
_cell_angle_beta 102.57
_cell_angle_gamma 44.18
_space_group_name_H-M_alt 'P 1'
_space_group_IT_number 1
_space_group_name_Hall 'P 1'
loop_
_atom_site_label
_atom_site_fract_x
_atom_site_fract_y
_atom_site_fract_z
Sm1 0.0428 0.2929 0.0274
Sm2 0.1276 0.8724 0.7500
Sm3 0.2929 0.0428 0.5274
Sm4 0.7071 0.9572 0.4726
Sm5 0.8724 0.1276 0.2500
Sm6 0.9572 0.7071 0.9726
Dy1 0.3768 0.6232 0.2500
Dy2 0.6232 0.3768 0.7500
Tm1 0.2093 0.4575 0.4716
Tm2 0.4575 0.2093 0.9716
Tm3 0.5425 0.7907 0.0284
Tm4 0.7907 0.5425 0.5284

***

# Li3B8C8, optimized geometry, DFT PBE-GGA
# Calculated formation energy in eV per atom: 0.09
data_Li3B8C8
_chemical_formula_sum 'Li3 B8 C8'
_cell_length_a 6.9961
_cell_length_b 6.9961
_cell_length_c 9.2904
_cell_angle_alpha 106.22
_cell_angle_beta 106.22
_cell_angle_gamma 22.23
_space_group_name_H-M_alt 'P 1'
_space_group_IT_number 1
_space_group_name_Hall 'P 1'
loop_
_atom_site_label
_atom_site_fract_x
_atom_site_fract_y
_atom_site_fract_z
Li1 0.0000 0.0000 0.0000
Li2 0.4910 0.4910 0.7102
Li3 0.5090 0.5090 0.2898
B1 0.1236 0.1236 0.8746
B2 0.1773 0.1773 0.3960
B3 0.3534 0.3534 0.3612
B4 0.3658 0.3658 0.8663
B5 0.6342 0.6342 0.1337
B6 0.6466 0.6466 0.6388
B7 0.8227 0.8227 0.6040
B8 0.8764 0.8764 0.1254
C1 0.1274 0.1274 0.7107
C2 0.1417 0.1417 0.2212
C3 0.3226 0.3226 0.5130
C4 0.3802 0.3802 0.0388
C5 0.6198 0.6198 0.9612
C6 0.6774 0.6774 0.4870
C7 0.8583 0.8583 0.7788
C8 0.8726 0.8726 0.2893

***

# ScTc2Se, optimized geometry, DFT PBE-GGA
# Formation energy (no corrections) in meV per atom: 105.3
data_ScTc2Se
_chemical_formula_sum 'Sc1 Tc2 Se1'
_cell_length_a 4.5242
_cell_length_b 4.5242
_cell_length_c 4.5242
_cell_angle_alpha 60.00
_cell_angle_beta 60.00
_cell_angle_gamma 60.00
_space_group_name_H-M_alt 'P 1'
_space_group_IT_number 1
_space_group_name_Hall 'P 1'
loop_
_atom_site_label
_atom_site_fract_x
_atom_site_fract_y
_atom_site_fract_z
Sc1 0.0000 0.0000 0.0000
Tc1 0.2500 0.2500 0.2500
Tc2 0.5000 0.5000 0.5000
Se1 0.7500 0.7500 0.7500

***

# HoSc2Co, optimized geometry, DFT PBE-GGA
# Calculated formation energy in eV per atom: -0.13
data_HoSc2Co
_chemical_formula_sum 'Ho1 Sc2 Co1'
_cell_length_a 3.2022
_cell_length_b 3.2022
_cell_length_c 8.3523
_cell_angle_alpha 90.00
_cell_angle_beta 90.00
_cell_angle_gamma 90.00
_space_group_name_H-M_alt 'P 1'
_space_group_IT_number 1
_space_group_name_Hall 'P 1'
loop_
_atom_site_label
_atom_site_fract_x
_atom_site_fract_y
_atom_site_fract_z
Ho1 0.0000 0.0000 0.0000
Sc1 0.5000 0.5000 0.3200
Sc2 0.5000 0.5000 0.6800
Co1 0.0000 0.0000 0.5000